Entry 1:
5
Lattice="5.270 0.000 0.000 0.000 5.270 0.000 0.000 0.000 3.968" Properties=species:S:1:pos:R:3 comment="GGA-PBEsol SnGeSe2N, relaxed" crystal_system=tetragonal pbc="T T T"
Sn 0.000 0.000 0.000
Ge 2.635 2.635 1.984
Se 0.000 2.635 0.000
Se 2.635 0.000 0.000
N 0.000 0.000 1.984

=====

Entry 2:
5
Lattice="5.022 0.000 0.000 0.000 5.022 0.000 0.000 0.000 3.778" Properties=species:S:1:pos:R:3 comment="GGA-PBEsol GeWSe2N, relaxed" crystal_system=tetragonal pbc="T T T"
Ge 0.000 0.000 0.000
W 2.511 2.511 1.889
Se 0.000 2.511 1.889
Se 2.511 0.000 1.889
N 2.511 2.511 0.000

=====

The volume results, record by record, are as follows: 22.04 19.06 A^3/atom.
The formation energy from raw total energies results, record by record, are as follows: 698 172 meV/atom.